This record from the Alexandria database describes a relaxed structure of Pm2Sm8Sc3. The functional is PBE.

Geometry as POSCAR:
```
Pm2Sm8Sc3
1.0
6.060 -0.124 1.077
-1.343 5.500 2.401
-1.918 -2.844 10.637
Sm Pm Sc
8 2 3
direct
0.160 0.923 0.298 Sm
0.307 0.847 0.623 Sm
0.085 0.457 0.146 Sm
0.840 0.077 0.702 Sm
0.915 0.543 0.854 Sm
0.622 0.692 0.218 Sm
0.693 0.153 0.377 Sm
0.378 0.308 0.782 Sm
0.768 0.615 0.540 Pm
0.232 0.385 0.460 Pm
0.459 0.777 0.928 Sc
0.541 0.223 0.072 Sc
0.000 0.000 0.000 Sc
```

Output
Energy of formation from the pure elements in eV per atom: 0.047
Energy relative to the lowest polymorph listed for this composition in meV/atom: 0